1.
## La9NdCd2 (GGA-PBE)

Data for La9NdCd2 after structural relaxation.

Output
E_form = -0.08 eV per atom
N(E_F) = 1.409 states/eV per atom
crystal system = tetragonal

abc: 5.1293 5.1293 15.4147
angles: 90.00 90.00 90.00
Sites, in units of the cell vectors:
La (0.5000, 0.5000, 0.0000)
La (0.5000, 0.5000, 0.3352)
La (0.5000, 0.5000, 0.6648)
La (0.5000, 0.0000, 0.1722)
La (0.5000, 0.0000, 0.5000)
La (0.5000, 0.0000, 0.8278)
La (0.0000, 0.5000, 0.1722)
La (0.0000, 0.5000, 0.5000)
La (0.0000, 0.5000, 0.8278)
Nd (0.0000, 0.0000, 0.0000)
Cd (0.0000, 0.0000, 0.3387)
Cd (0.0000, 0.0000, 0.6613)

2.
## La2Nd3Cd3 (GGA-PBE)

Data for La2Nd3Cd3 after structural relaxation.

Output
distance to the lowest polymorph of the same formula = 38 meV per atom
E_form = -0.19 eV per atom
N(E_F) = 1.511 states/eV per atom
crystal system = orthorhombic

abc: 5.0556 5.0779 9.5226
angles: 90.00 90.00 90.00
Sites, in units of the cell vectors:
La (0.0000, 0.0000, 0.7388)
La (0.0000, 0.0000, 0.2612)
Nd (0.5000, 0.5000, 0.7314)
Nd (0.5000, 0.5000, 0.2686)
Nd (0.5000, 0.0000, 0.0000)
Cd (0.5000, 0.0000, 0.5000)
Cd (0.0000, 0.5000, 0.0000)
Cd (0.0000, 0.5000, 0.5000)

3.
## LaNd3Cd2 (GGA-PBE)

Data for LaNd3Cd2 after structural relaxation.

Output
E_form = -0.21 eV per atom
N(E_F) = 1.213 states/eV per atom
crystal system = tetragonal

abc: 3.8075 3.8075 12.8849
angles: 90.00 90.00 90.00
Sites, in units of the cell vectors:
La (0.5000, 0.5000, 0.5000)
Nd (0.0000, 0.0000, 0.0000)
Nd (0.0000, 0.0000, 0.6962)
Nd (0.0000, 0.0000, 0.3038)
Cd (0.5000, 0.5000, 0.8467)
Cd (0.5000, 0.5000, 0.1533)

4.
## LaNd6Cd5 (GGA-PBE)

Data for LaNd6Cd5 after structural relaxation.

Output
E_form = -0.22 eV per atom
N(E_F) = 1.415 states/eV per atom
crystal system = orthorhombic

abc: 5.4839 7.8104 8.7757
angles: 90.00 71.79 90.00
Sites, in units of the cell vectors:
Cd (0.6672, 0.5000, 0.6656)
Cd (0.3435, 0.0000, 0.3129)
Cd (0.0000, 0.5000, 0.0000)
Cd (0.6565, 0.0000, 0.6871)
Cd (0.3328, 0.5000, 0.3344)
Nd (0.8259, 0.7480, 0.3482)
Nd (0.8259, 0.2520, 0.3482)
Nd (0.5000, 0.2731, 0.0000)
Nd (0.5000, 0.7269, 0.0000)
Nd (0.1741, 0.7480, 0.6518)
Nd (0.1741, 0.2520, 0.6518)
La (0.0000, 0.0000, 0.0000)

5.
## LaNd6Cd3 (GGA-PBE)

Data for LaNd6Cd3 after structural relaxation.

Output
E_form = -0.10 eV per atom
N(E_F) = 1.266 states/eV per atom
crystal system = orthorhombic

abc: 6.9492 9.6462 9.6462
angles: 95.28 90.00 90.00
Sites, in units of the cell vectors:
La (0.1155, 0.2989, 0.7011)
La (0.6155, 0.7011, 0.2989)
Nd (0.1049, 0.7450, 0.6873)
Nd (0.6049, 0.6873, 0.7450)
Nd (0.2707, 0.5604, 0.9875)
Nd (0.7707, 0.9875, 0.5604)
Nd (0.3971, 0.9225, 0.0775)
Nd (0.5934, 0.3008, 0.6992)
Nd (0.0934, 0.6992, 0.3008)
Nd (0.8971, 0.0775, 0.9225)
Nd (0.2707, 0.0125, 0.4396)
Nd (0.7707, 0.4396, 0.0125)
Nd (0.1049, 0.3127, 0.2550)
Nd (0.6049, 0.2550, 0.3127)
Cd (0.3874, 0.0064, 0.7662)
Cd (0.8874, 0.7662, 0.0064)
Cd (0.3534, 0.5029, 0.4971)
Cd (0.8534, 0.4971, 0.5029)
Cd (0.8874, 0.9936, 0.2338)
Cd (0.3874, 0.2338, 0.9936)

6.
## LaNd3Cd (GGA-PBE)

Data for LaNd3Cd after structural relaxation.

Output
distance to the lowest polymorph of the same formula = 0 meV per atom
E_form = -0.11 eV per atom
N(E_F) = 1.479 states/eV per atom
crystal system = monoclinic

abc: 3.8164 6.9623 13.0783
angles: 87.32 90.02 74.10
Sites, in units of the cell vectors:
La (0.2294, 0.5417, 0.7503)
La (0.7706, 0.4583, 0.2497)
Nd (0.1452, 0.7089, 0.4487)
Nd (0.3652, 0.2691, 0.0266)
Nd (0.0381, 0.9235, 0.1896)
Nd (0.8548, 0.2911, 0.5513)
Nd (0.9619, 0.0765, 0.8104)
Nd (0.6348, 0.7309, 0.9734)
Cd (0.5526, 0.8951, 0.6268)
Cd (0.4474, 0.1049, 0.3732)

7.
## La4NdCd2 (GGA-PBE)

Data for La4NdCd2 after structural relaxation.

Output
distance to the lowest polymorph of the same formula = 0 meV per atom
E_form = -0.16 eV per atom
N(E_F) = 1.158 states/eV per atom
crystal system = orthorhombic

abc: 5.6647 5.6647 16.9209
angles: 90.00 90.00 119.97
Sites, in units of the cell vectors:
Cd (0.8335, 0.1665, 0.5576)
Cd (0.1665, 0.8335, 0.0576)
Cd (0.8335, 0.1665, 0.9424)
Cd (0.1665, 0.8335, 0.4424)
Nd (0.4994, 0.5006, 0.2500)
Nd (0.5006, 0.4994, 0.7500)
La (0.1672, 0.8328, 0.8586)
La (0.1672, 0.8328, 0.6414)
La (0.8328, 0.1672, 0.1414)
La (0.8328, 0.1672, 0.3586)
La (0.1660, 0.8340, 0.2500)
La (0.8340, 0.1660, 0.7500)
La (0.5000, 0.5000, 0.0000)
La (0.5000, 0.5000, 0.5000)

8.
## LaNd6Cd2 (GGA-PBE)

Data for LaNd6Cd2 after structural relaxation.

Output
distance to the lowest polymorph of the same formula = 0 meV per atom
E_form = -0.13 eV per atom
N(E_F) = 1.124 states/eV per atom
crystal system = monoclinic

abc: 3.8713 6.8032 12.1627
angles: 75.36 80.84 73.47
Sites, in units of the cell vectors:
La (0.0000, 0.0000, 0.0000)
Nd (0.6842, 0.5076, 0.1240)
Nd (0.3158, 0.4924, 0.8760)
Nd (0.3132, 0.7887, 0.5850)
Nd (0.9811, 0.6996, 0.3382)
Nd (0.0189, 0.3004, 0.6618)
Nd (0.6868, 0.2113, 0.4150)
Cd (0.3495, 0.0899, 0.2112)
Cd (0.6505, 0.9101, 0.7888)

9.
## La4Nd3Cd2 (GGA-PBE)

Data for La4Nd3Cd2 after structural relaxation.

Output
E_form = -0.08 eV per atom
N(E_F) = 1.425 states/eV per atom
crystal system = monoclinic

abc: 5.2182 7.7198 8.2954
angles: 109.05 108.33 90.00
Sites, in units of the cell vectors:
La (0.5523, 0.3340, 0.1046)
La (0.7780, 0.6935, 0.5561)
La (0.4477, 0.6660, 0.8954)
La (0.2220, 0.3065, 0.4439)
Nd (0.8838, 0.3185, 0.7676)
Nd (0.1162, 0.6815, 0.2324)
Nd (0.0000, 0.0000, 0.0000)
Cd (0.3412, 0.0020, 0.6824)
Cd (0.6588, 0.9980, 0.3176)

10.
## La7Nd12Cd (GGA-PBE)

Data for La7Nd12Cd after structural relaxation.

Output
E_form = 0.56 eV per atom
N(E_F) = 1.534 states/eV per atom
crystal system = cubic

abc: 10.0090 10.0090 10.0090
angles: 109.47 109.47 109.47
Sites, in units of the cell vectors:
La (0.5000, 0.5000, 0.0000)
La (0.0000, 0.5000, 0.5000)
La (0.5000, 0.0000, 0.5000)
La (0.5000, 0.5000, 0.5000)
La (0.0000, 0.0000, 0.5000)
La (0.5000, 0.0000, 0.0000)
La (0.0000, 0.5000, 0.0000)
Nd (0.5421, 0.8012, 0.7409)
Nd (0.0603, 0.8012, 0.2591)
Nd (0.4579, 0.1988, 0.2591)
Nd (0.9397, 0.1988, 0.7409)
Nd (0.7409, 0.9397, 0.1988)
Nd (0.7409, 0.5421, 0.8012)
Nd (0.2591, 0.0603, 0.8012)
Nd (0.2591, 0.4579, 0.1988)
Nd (0.8012, 0.7409, 0.5421)
Nd (0.1988, 0.2591, 0.4579)
Nd (0.8012, 0.2591, 0.0603)
Nd (0.1988, 0.7409, 0.9397)
Cd (0.0000, 0.0000, 0.0000)

11.
## La5Nd2Cd (GGA-PBE)

Data for La5Nd2Cd after structural relaxation.

Output
distance to the lowest polymorph of the same formula = 62 meV per atom
E_form = 0.00 eV per atom
N(E_F) = 1.671 states/eV per atom
crystal system = tetragonal

abc: 7.1036 7.1035 7.1035
angles: 109.66 109.67 109.09
Sites, in units of the cell vectors:
La (0.2781, 0.2782, 0.5004)
La (0.2783, 0.7776, 0.0000)
La (0.7778, 0.2780, 0.0000)
La (0.7776, 0.7778, 0.4996)
La (0.2774, 0.2770, 0.0000)
Nd (0.2776, 0.7780, 0.5000)
Nd (0.7777, 0.2780, 0.5000)
Cd (0.7785, 0.7782, 0.0000)

12.
## La2Nd4Cd (GGA-PBE)

Data for La2Nd4Cd after structural relaxation.

Output
E_form = 0.03 eV per atom
N(E_F) = 1.285 states/eV per atom
crystal system = monoclinic

abc: 3.5870 8.7893 8.8305
angles: 116.95 101.72 90.00
Sites, in units of the cell vectors:
La (0.7821, 0.8582, 0.5642)
La (0.2179, 0.1418, 0.4358)
Nd (0.9201, 0.2975, 0.8402)
Nd (0.0799, 0.7025, 0.1598)
Nd (0.6263, 0.3863, 0.2526)
Nd (0.3737, 0.6137, 0.7474)
Cd (0.0000, 0.0000, 0.0000)